## NpMn2Ge (PBE)

Data for a geometry-optimized NpMn2Ge structure.

Lattice parameters (Å, degrees): 4.174 4.174 3.424 90.00 90.00 90.00
Fractional positions:
Np 0.000 0.000 0.000
Mn 0.000 0.500 0.500
Mn 0.500 0.000 0.500
Ge 0.500 0.500 0.000

Calculated values
Its crystal system is tetragonal. The calculation puts the energy relative to the elements at -0.023 eV/atom.